# 1
Below is a geometry-optimized Na2NbCo structure, with properties calculated at the GGA-PBE level.

Cell lengths 9.875, 9.875, 7.328 Å; angles 47.64, 47.64, 90.00 degrees
Each line ends with the local moment (μB).
Element x y z (fractional)
Nb: 0.750 0.250 0.500  0.99
Nb: 0.000 0.000 0.000  0.98
Co: 0.500 0.500 0.000  -0.28
Co: 0.250 0.750 0.500  -0.27
Na: 0.242 0.625 0.250  0.00
Na: 0.875 0.758 0.750  0.00
Na: 0.508 0.125 0.250  0.00
Na: 0.375 0.492 0.750  0.00

Properties
- E: -3.755 eV per atom
- Space-group type: No. 122
- ΔE_f: 1.199 eV/atom



# 2
Below is a geometry-optimized NaNb3Co structure, with properties calculated at the GGA-PBE level.

Cell lengths 4.606, 4.606, 4.606 Å; angles 90.00, 90.00, 90.00 degrees
Element x y z (fractional)
Nb: 0.500 0.000 0.000
Nb: 0.000 0.000 0.500
Nb: 0.000 0.500 0.000
Na: 0.000 0.000 0.000
Co: 0.500 0.500 0.500

Properties
- E: -5.287 eV per atom
- Space-group type: No. 221
- ΔE_f: 2.440 eV/atom